[1]
This record from the Alexandria database describes AlIr2O after structural relaxation. The functional is GGA-PBE.

a b c (Å): 4.4004 4.4004 7.2969
angles (deg): 72.45 72.45 90.00
Atoms (fractional coordinates):
Ir (0.5152, 0.1250, 0.2500)
Ir (0.2348, 0.6250, 0.2500)
Ir (0.3750, 0.4848, 0.7500)
Ir (0.8750, 0.7652, 0.7500)
Al (0.0000, 0.0000, 0.0000)
Al (0.7500, 0.2500, 0.5000)
O (0.5000, 0.5000, 0.0000)
O (0.2500, 0.7500, 0.5000)

Computed properties:
For the spin magnetization, the calculation gives 0.00 μB per formula unit. For the offset from the most stable computed form, the calculation gives 0 meV/atom. As for the formation energy without anion corrections: 0.471 eV/f.u. As for the total energy: -6.488 eV per atom.

=====

[2]
This record from the Alexandria database describes Al2IrO4 after structural relaxation. The functional is GGA-PBE.

a b c (Å): 4.1370 4.1370 5.7241
angles (deg): 68.82 68.82 90.00
Atoms (fractional coordinates):
Ir (0.0000, 0.0000, 0.0000)
Al (0.3726, 0.3726, 0.2548)
Al (0.6274, 0.6274, 0.7452)
O (0.2039, 0.2039, 0.5921)
O (0.7961, 0.7961, 0.4079)
O (0.0000, 0.5000, 0.0000)
O (0.5000, 0.0000, 0.0000)

Computed properties:
For the spin magnetization, the calculation gives 0.00 μB per formula unit. As for the formation energy without anion corrections: -6.341 eV/f.u. As for the total energy: -6.074 eV per atom.